# 1
Cd2InAg meta-GGA SCAN single point on PBEsol structure; E_form = 0.04 eV/atom; E = -31.360 eV per atom
1.0
4.290 0.000 0.000
0.000 4.290 0.000
0.000 0.000 8.770
Cd In Ag
4 2 2
Direct
0.000 0.500 0.250
0.000 0.500 0.750
0.500 0.000 0.250
0.500 0.000 0.750
0.000 0.000 0.000
0.500 0.500 0.500
0.000 0.000 0.500
0.500 0.500 0.000

---

# 2
NaHg2Pd2 meta-GGA SCAN single point on PBEsol structure; excess energy over the best structure of this formula in the dataset = 0.0 meV per atom; E_form = -0.25 eV/atom; E = -41.471 eV per atom
1.0
7.991 0.000 0.000
0.000 7.991 0.000
0.000 0.000 2.973
Na Hg Pd
2 4 4
Direct
0.000 0.000 0.000
0.500 0.500 0.000
0.166 0.334 0.000
0.334 0.834 0.000
0.666 0.166 0.000
0.834 0.666 0.000
0.130 0.630 0.500
0.370 0.130 0.500
0.630 0.870 0.500
0.870 0.370 0.500

---

# 3
Zn2CrTc meta-GGA SCAN single point on PBEsol structure; excess energy over the best structure of this formula in the dataset = 166.8 meV per atom; E_form = 0.17 eV/atom; E = -19.947 eV per atom
1.0
5.981 0.000 0.000
0.000 5.981 0.000
0.000 0.000 5.981
Zn Cr Tc
8 4 4
Direct
0.250 0.250 0.250
0.250 0.250 0.750
0.250 0.750 0.250
0.250 0.750 0.750
0.750 0.250 0.250
0.750 0.250 0.750
0.750 0.750 0.250
0.750 0.750 0.750
0.000 0.000 0.000
0.000 0.500 0.500
0.500 0.000 0.500
0.500 0.500 0.000
0.000 0.000 0.500
0.000 0.500 0.000
0.500 0.000 0.000
0.500 0.500 0.500

---

# 4
LaCu4 meta-GGA SCAN single point on PBEsol structure; E_form = -0.09 eV/atom; E = -20.872 eV per atom
1.0
-4.333 4.333 4.333
4.333 -4.333 4.333
4.333 4.333 -4.333
La Cu
4 16
Direct
0.000 0.000 0.567
0.000 0.567 0.000
0.433 0.433 0.433
0.567 0.000 0.000
0.000 0.000 0.199
0.000 0.199 0.000
0.000 0.360 0.360
0.000 0.640 0.640
0.199 0.000 0.000
0.250 0.500 0.750
0.250 0.750 0.500
0.360 0.000 0.360
0.360 0.360 0.000
0.500 0.250 0.750
0.500 0.750 0.250
0.640 0.000 0.640
0.640 0.640 0.000
0.750 0.250 0.500
0.750 0.500 0.250
0.801 0.801 0.801

---

# 5
Nb3CuRe meta-GGA SCAN single point on PBEsol structure; E_form = 1.38 eV/atom; E = -35.756 eV per atom
1.0
4.526 0.000 0.000
0.000 4.526 0.000
0.000 0.000 4.526
Nb Cu Re
3 1 1
Direct
0.000 0.000 0.500
0.000 0.500 0.000
0.500 0.000 0.000
0.000 0.000 0.000
0.500 0.500 0.500

---

# 6
CaFeSi meta-GGA SCAN single point on PBEsol structure; formation energy from raw total energies = 0.3502 eV per atom; E = -12.253 eV per atom
1.0
5.948 0.000 0.000
0.000 5.948 0.000
0.000 0.000 5.948
Ca Fe Si
4 4 4
Direct
0.000 0.000 0.000
0.000 0.500 0.500
0.500 0.000 0.500
0.500 0.500 0.000
0.250 0.250 0.750
0.250 0.750 0.250
0.750 0.250 0.250
0.750 0.750 0.750
0.000 0.000 0.500
0.000 0.500 0.000
0.500 0.000 0.000
0.500 0.500 0.500

---

# 7
InNiN3 meta-GGA SCAN single point on PBEsol structure; formation energy from raw total energies = 1.2623 eV per atom; E = -14.224 eV per atom
1.0
3.755 0.000 0.000
0.000 3.755 0.000
0.000 0.000 3.755
In Ni N
1 1 3
Direct
0.000 0.000 0.000
0.500 0.500 0.500
0.000 0.500 0.500
0.500 0.000 0.500
0.500 0.500 0.000

---

# 8
SrSiSb2N meta-GGA SCAN single point on PBEsol structure; formation energy from raw total energies = 0.2134 eV per atom; E = -23.007 eV per atom
1.0
4.665 0.000 0.000
0.000 4.665 0.000
0.000 0.000 4.955
Sr Si Sb N
1 1 2 1
Direct
0.000 0.000 0.000
0.500 0.500 0.000
0.000 0.500 0.500
0.500 0.000 0.500
0.000 0.000 0.500

---

# 9
K2SrTe meta-GGA SCAN single point on PBEsol structure; formation energy from raw total energies = -0.6344 eV per atom; E = -19.680 eV per atom
1.0
11.816 0.000 0.000
0.000 11.816 0.000
0.000 0.000 6.384
K Sr Te
8 4 4
Direct
0.134 0.250 0.125
0.250 0.634 0.375
0.250 0.866 0.875
0.366 0.250 0.625
0.634 0.750 0.625
0.750 0.134 0.875
0.750 0.366 0.375
0.866 0.750 0.125
0.000 0.000 0.500
0.000 0.500 0.750
0.500 0.000 0.250
0.500 0.500 0.000
0.000 0.000 0.000
0.000 0.500 0.250
0.500 0.000 0.750
0.500 0.500 0.500

---

# 10
AlTlCrBi2 meta-GGA SCAN single point on PBEsol structure; E_form = 1.07 eV/atom; E = -50.061 eV per atom
1.0
5.782 0.000 0.000
0.000 5.782 0.000
0.000 0.000 5.050
Al Tl Cr Bi
1 1 1 2
Direct
0.000 0.000 0.000
0.000 0.000 0.500
0.500 0.500 0.000
0.000 0.500 0.500
0.500 0.000 0.500

---

# 11
Hg2SbAs meta-GGA SCAN single point on PBEsol structure; excess energy over the best structure of this formula in the dataset = 393.8 meV per atom; formation energy from raw total energies = 0.4333 eV per atom; E = -48.012 eV per atom
1.0
7.136 0.000 0.000
0.000 7.136 0.000
0.000 0.000 7.136
Hg Sb As
8 4 4
Direct
0.250 0.250 0.250
0.250 0.250 0.750
0.250 0.750 0.250
0.250 0.750 0.750
0.750 0.250 0.250
0.750 0.250 0.750
0.750 0.750 0.250
0.750 0.750 0.750
0.000 0.000 0.000
0.000 0.500 0.500
0.500 0.000 0.500
0.500 0.500 0.000
0.000 0.000 0.500
0.000 0.500 0.000
0.500 0.000 0.000
0.500 0.500 0.500

---

# 12
ZrAg2W meta-GGA SCAN single point on PBEsol structure; E_form = 0.46 eV/atom; E = -40.324 eV per atom
1.0
2.785 0.000 0.000
0.000 2.785 0.000
0.000 0.000 8.798
Zr Ag W
1 2 1
Direct
0.000 0.000 0.000
0.500 0.500 0.261
0.500 0.500 0.739
0.000 0.000 0.500

---

# 13
CdCoN3 meta-GGA SCAN single point on PBEsol structure; formation energy from raw total energies = 2.5614 eV per atom; E = -12.557 eV per atom
1.0
4.105 0.000 0.000
0.000 4.105 0.000
0.000 0.000 4.105
Cd Co N
1 1 3
Direct
0.000 0.000 0.000
0.500 0.500 0.500
0.000 0.000 0.500
0.000 0.500 0.000
0.500 0.000 0.000

---

# 14
SiTc2SnTe meta-GGA SCAN single point on PBEsol structure; formation energy from raw total energies = 1.1007 eV per atom; E = -29.561 eV per atom
1.0
4.576 0.000 0.000
0.000 4.576 0.000
0.000 0.000 5.046
Si Tc Sn Te
1 2 1 1
Direct
0.000 0.000 0.000
0.000 0.500 0.000
0.500 0.000 0.000
0.500 0.500 0.500
0.000 0.000 0.500

---

# 15
ZnAuCl2 meta-GGA SCAN single point on PBEsol structure; excess energy over the best structure of this formula in the dataset = 288.3 meV per atom; formation energy from raw total energies = 0.1889 eV per atom; E = -24.468 eV per atom
1.0
6.603 0.000 0.000
0.000 6.603 0.000
0.000 0.000 6.603
Zn Au Cl
4 4 8
Direct
0.000 0.000 0.000
0.000 0.500 0.500
0.500 0.000 0.500
0.500 0.500 0.000
0.250 0.250 0.750
0.250 0.750 0.250
0.750 0.250 0.250
0.750 0.750 0.750
0.000 0.000 0.500
0.000 0.500 0.000
0.250 0.250 0.250
0.250 0.750 0.750
0.500 0.000 0.000
0.500 0.500 0.500
0.750 0.250 0.750
0.750 0.750 0.250

---

# 16
CdInSe meta-GGA SCAN single point on PBEsol structure; formation energy from raw total energies = -0.0858 eV per atom; E = -28.046 eV per atom
1.0
3.564 0.000 0.000
0.000 3.564 0.000
0.000 0.000 10.789
Cd In Se
2 2 2
Direct
0.000 0.000 0.000
0.500 0.500 0.500
0.000 0.000 0.305
0.500 0.500 0.805
0.000 0.000 0.652
0.500 0.500 0.152

---

# 17
Na2Pt meta-GGA SCAN single point on PBEsol structure; E_form = 0.26 eV/atom; E = -25.943 eV per atom
1.0
0.000 3.764 3.764
3.764 0.000 3.764
3.764 3.764 0.000
Na Pt
4 2
Direct
0.000 0.000 0.000
0.000 0.000 0.500
0.000 0.500 0.000
0.500 0.000 0.000
0.375 0.375 0.375
0.625 0.625 0.625

---

# 18
BeZnS2Cl meta-GGA SCAN single point on PBEsol structure; formation energy from raw total energies = 0.0728 eV per atom; E = -8.948 eV per atom
1.0
4.358 0.000 0.000
0.000 4.358 0.000
0.000 0.000 4.316
Be Zn S Cl
1 1 2 1
Direct
0.000 0.000 0.000
0.500 0.500 0.500
0.000 0.500 0.000
0.500 0.000 0.000
0.000 0.000 0.500

---

# 19
K3SrB meta-GGA SCAN single point on PBEsol structure; E_form = 0.79 eV/atom; E = -10.151 eV per atom
1.0
6.239 0.000 0.000
0.000 6.239 0.000
0.000 0.000 6.239
K Sr B
3 1 1
Direct
0.000 0.000 0.500
0.000 0.500 0.000
0.500 0.000 0.000
0.500 0.500 0.500
0.000 0.000 0.000

---

# 20
Ni2HgSe meta-GGA SCAN single point on PBEsol structure; formation energy from raw total energies = 0.1364 eV per atom; E = -30.011 eV per atom
1.0
7.987 0.000 0.000
0.000 3.024 0.000
-0.846 0.000 5.277
Ni Hg Se
4 2 2
Direct
0.000 0.000 0.000
0.240 0.500 0.208
0.500 0.500 0.000
0.740 0.000 0.208
0.493 0.000 0.471
0.993 0.500 0.471
0.275 0.000 0.886
0.775 0.500 0.886

---

# 21
Ga2TeHW meta-GGA SCAN single point on PBEsol structure; E = -27.705 eV per atom
1.0
3.898 0.000 0.000
0.000 3.898 0.000
0.000 0.000 5.079
Ga Te H W
2 1 1 1
Direct
0.000 0.500 0.000
0.500 0.000 0.000
0.000 0.000 0.500
0.000 0.000 0.000
0.500 0.500 0.500

---

# 22
BaNi2Pt meta-GGA SCAN single point on PBEsol structure; E_form = -0.35 eV/atom; E = -35.870 eV per atom
1.0
4.230 0.000 0.000
-2.115 3.663 0.000
0.000 0.000 15.800
Ba Ni Pt
3 6 3
Direct
0.000 0.000 0.000
0.333 0.667 0.667
0.667 0.333 0.333
0.000 0.000 0.182
0.000 0.000 0.818
0.333 0.667 0.485
0.333 0.667 0.849
0.667 0.333 0.151
0.667 0.333 0.515
0.000 0.000 0.500
0.333 0.667 0.167
0.667 0.333 0.833

---

# 23
Zr3Sn4Sb2 meta-GGA SCAN single point on PBEsol structure; formation energy from raw total energies = -0.5340 eV per atom; E = -35.012 eV per atom
1.0
2.744 -4.764 0.000
2.744 4.764 0.000
-0.041 0.000 7.582
Zr Sn Sb
3 4 2
Direct
0.000 0.000 0.000
0.002 0.485 0.663
0.515 0.998 0.337
0.332 0.668 0.000
0.337 0.153 0.670
0.670 0.330 0.000
0.847 0.663 0.330
0.179 0.329 0.333
0.671 0.821 0.667

---

# 24
NaCu2O3 meta-GGA SCAN single point on PBEsol structure; excess energy over the best structure of this formula in the dataset = 34.7 meV per atom; formation energy from raw total energies = -0.9634 eV per atom; E = -9.848 eV per atom
1.0
3.700 0.000 0.000
0.000 11.477 0.000
0.000 0.000 3.292
Na Cu O
2 4 6
Direct
0.000 0.000 0.000
0.500 0.500 0.000
0.000 0.342 0.500
0.000 0.658 0.500
0.500 0.158 0.500
0.500 0.842 0.500
0.000 0.180 0.500
0.000 0.500 0.500
0.000 0.820 0.500
0.500 0.000 0.500
0.500 0.320 0.500
0.500 0.680 0.500

---

# 25
YTa2Au meta-GGA SCAN single point on PBEsol structure; excess energy over the best structure of this formula in the dataset = 118.2 meV per atom; E_form = 0.13 eV/atom; E = -57.413 eV per atom
1.0
3.397 0.000 0.000
0.000 4.976 0.000
0.000 0.000 9.256
Y Ta Au
2 4 2
Direct
0.000 0.000 0.000
0.500 0.500 0.500
0.000 0.000 0.508
0.000 0.500 0.232
0.500 0.000 0.732
0.500 0.500 0.008
0.000 0.500 0.763
0.500 0.000 0.263

---

# 26
Be2RhBr meta-GGA SCAN single point on PBEsol structure; excess energy over the best structure of this formula in the dataset = 169.4 meV per atom; formation energy from raw total energies = -0.0858 eV per atom; E = -15.570 eV per atom
1.0
3.082 0.000 0.000
0.000 3.082 0.000
0.000 0.000 6.187
Be Rh Br
2 1 1
Direct
0.000 0.000 0.000
0.500 0.500 0.234
0.500 0.500 0.897
0.000 0.000 0.427

---

# 27
Nb3CoH meta-GGA SCAN single point on PBEsol structure; E = -23.953 eV per atom
1.0
4.049 0.000 0.000
0.000 4.049 0.000
0.000 0.000 4.049
Nb Co H
3 1 1
Direct
0.000 0.000 0.500
0.000 0.500 0.000
0.500 0.000 0.000
0.500 0.500 0.500
0.000 0.000 0.000

---

# 28
Ta6Al7 meta-GGA SCAN single point on PBEsol structure; E_form = -0.26 eV/atom; E = -35.161 eV per atom
1.0
2.550 1.472 9.163
-2.550 1.472 9.163
0.000 -2.945 9.163
Ta Al
6 7
Direct
0.046 0.046 0.046
0.148 0.148 0.148
0.334 0.334 0.334
0.666 0.666 0.666
0.852 0.852 0.852
0.954 0.954 0.954
0.084 0.591 0.591
0.409 0.409 0.916
0.409 0.916 0.409
0.500 0.500 0.500
0.591 0.084 0.591
0.591 0.591 0.084
0.916 0.409 0.409